First-principles (GGA-PBE) data for a relaxed CrNiAu crystal, as listed in Alexandria.

a b c (Å): 4.2279 4.2279 2.8231
angles (deg): 90.00 90.00 120.00
Space group P3m1 (No. 156)
One atom of each set of equivalent atoms:
Cr  0.0000  0.0000  0.0000 x1
Ni  0.6667  0.3333  0.0147 x1
Au  0.3333  0.6667  0.5060 x1

Output
**ΔE_f**: 27.86 kJ per mole of atoms
**DFT total energy**: -17.82 eV for the cell shown
**Density**: 11690 kg/m3

---

First-principles (GGA-PBE) data for a relaxed CrNi2Au crystal, as listed in Alexandria.

a b c (Å): 3.723 3.723 7.625
angles (deg): 90.00 90.00 90.00
Space group I-4m2 (No. 119)
One atom of each set of equivalent atoms:
Cr  0.000  0.000  0.000 x2
Ni  0.000  0.000  0.500 x2
Ni  0.000  0.500  0.750 x2
Au  0.000  0.500  0.250 x2

Output
**ΔE_f**: 10.54 kJ per mole of atoms
**DFT total energy**: -48.05 eV for the cell shown
**Density**: 11512 kg/m3

---

First-principles (GGA-PBE) data for a relaxed CrNi2Au crystal, as listed in Alexandria.

a b c (Å): 2.853 3.250 5.679
angles (deg): 90.00 90.09 90.00
Space group P2/m (No. 10)
One atom of each set of equivalent atoms:
Cr  0.000  0.000  0.000 x1
Ni  0.500  0.500  0.219 x2
Au  0.000  0.000  0.500 x1

Output
**ΔE_f**: 9.10 kJ per mole of atoms
**DFT total energy**: -24.09 eV for the cell shown
**Density**: 11557 kg/m3

---

First-principles (GGA-PBE) data for a relaxed CrNi2Au crystal, as listed in Alexandria.

a b c (Å): 8.387 2.646 4.751
angles (deg): 90.00 99.61 90.00
Space group C2/m (No. 12)
One atom of each set of equivalent atoms:
Cr  0.000  0.000  0.000 x2
Ni  0.244  0.500  0.218 x4
Au  0.000  0.500  0.500 x2

Output
**ΔE_f**: 18.83 kJ per mole of atoms
**DFT total energy**: -47.37 eV for the cell shown
**Density**: 11703 kg/m3

---

First-principles (GGA-PBE) data for a relaxed CrNiAu2 crystal, as listed in Alexandria.

a b c (Å): 9.396 2.975 4.629
angles (deg): 90.00 107.18 90.00
Space group Cm (No. 8)
One atom of each set of equivalent atoms:
Cr  0.000  0.000  0.000 x2
Ni  0.220  0.500  0.254 x2
Au  0.243  0.000  0.772 x2
Au  0.471  0.000  0.472 x2

Output
**ΔE_f**: 15.24 kJ per mole of atoms
**DFT total energy**: -42.66 eV for the cell shown
**Density**: 13557 kg/m3

---

First-principles (GGA-PBE) data for a relaxed CrNi2Au crystal, as listed in Alexandria.

a b c (Å): 6.646 6.646 5.219
angles (deg): 90.00 90.00 90.00
Space group I-42d (No. 122)
One atom of each set of equivalent atoms:
Cr  0.000  0.000  0.000 x4
Ni  0.226  0.750  0.125 x8
Au  0.000  0.000  0.500 x4

Output
**ΔE_f**: 48.05 kJ per mole of atoms
**DFT total energy**: -89.89 eV for the cell shown
**Density**: 10557 kg/m3

---

First-principles (GGA-PBE) data for a relaxed CrNiAu crystal, as listed in Alexandria.

a b c (Å): 5.862 5.862 5.862
angles (deg): 90.00 90.00 90.00
Space group F-43m (No. 216)
One atom of each set of equivalent atoms:
Cr  0.000  0.000  0.000 x4
Ni  0.250  0.250  0.250 x4
Au  0.000  0.000  0.500 x4

Output
**ΔE_f**: 41.56 kJ per mole of atoms
**DFT total energy**: -69.56 eV for the cell shown
**Density**: 10144 kg/m3

---

First-principles (GGA-PBE) data for a relaxed CrNi2Au crystal, as listed in Alexandria.

a b c (Å): 2.6573 2.6573 25.6830
angles (deg): 90.00 90.00 120.00
Space group R3m (No. 160, hexagonal axes)
One atom of each set of equivalent atoms:
Cr  0.0000  0.0000  0.0000 x3
Ni  0.0000  0.0000  0.4850 x3
Ni  0.0000  0.0000  0.7408 x3
Au  0.0000  0.0000  0.2406 x3

Output
**ΔE_f**: 27.28 kJ per mole of atoms
**DFT total energy**: -70.00 eV for the cell shown
**Density**: 11620 kg/m3

---

First-principles (GGA-PBE) data for a relaxed CrNi2Au crystal, as listed in Alexandria.

a b c (Å): 5.901 5.901 5.901
angles (deg): 90.00 90.00 90.00
Space group Fm-3m (No. 225)
One atom of each set of equivalent atoms:
Cr  0.000  0.000  0.000 x4
Ni  0.250  0.250  0.250 x8
Au  0.000  0.000  0.500 x4

Output
**ΔE_f**: 25.99 kJ per mole of atoms
**DFT total energy**: -93.54 eV for the cell shown
**Density**: 11842 kg/m3

---

First-principles (GGA-PBE) data for a relaxed CrNiAu2 crystal, as listed in Alexandria.

a b c (Å): 2.897 4.193 5.336
angles (deg): 90.00 105.53 90.00
Space group Pm (No. 6)
One atom of each set of equivalent atoms:
Cr  0.000  0.000  0.000 x1
Ni  0.170  0.500  0.259 x1
Au  0.400  0.500  0.785 x1
Au  0.754  0.000  0.461 x1

Output
**ΔE_f**: 20.23 kJ per mole of atoms
**DFT total energy**: -21.12 eV for the cell shown
**Density**: 13416 kg/m3

---

First-principles (GGA-PBE) data for a relaxed CrNiAu2 crystal, as listed in Alexandria.

a b c (Å): 6.179 6.179 6.179
angles (deg): 90.00 90.00 90.00
Space group Fm-3m (No. 225)
One atom of each set of equivalent atoms:
Cr  0.000  0.000  0.000 x4
Ni  0.000  0.000  0.500 x4
Au  0.250  0.250  0.250 x8

Output
**ΔE_f**: 35.31 kJ per mole of atoms
**DFT total energy**: -81.98 eV for the cell shown
**Density**: 14209 kg/m3

---

First-principles (GGA-PBE) data for a relaxed CrNiPAu2 crystal, as listed in Alexandria.

a b c (Å): 4.893 4.893 4.030
angles (deg): 90.00 90.00 90.00
Space group P4/mmm (No. 123)
One atom of each set of equivalent atoms:
Cr  0.000  0.000  0.000 x1
Ni  0.500  0.500  0.500 x1
P  0.500  0.500  0.000 x1
Au  0.000  0.500  0.500 x2

Output
**ΔE_f**: 45.61 kJ per mole of atoms
**DFT total energy**: -25.01 eV for the cell shown
**Density**: 9217 kg/m3

---

First-principles (GGA-PBE) data for a relaxed CrNiPdAu crystal, as listed in Alexandria.

a b c (Å): 6.190 6.190 6.190
angles (deg): 90.00 90.00 90.00
Space group F-43m (No. 216)
One atom of each set of equivalent atoms:
Cr  0.000  0.000  0.000 x4
Ni  0.000  0.000  0.500 x4
Pd  0.250  0.250  0.250 x4
Au  0.250  0.250  0.750 x4

Output
**ΔE_f**: 11.77 kJ per mole of atoms
**DFT total energy**: -93.55 eV for the cell shown
**Density**: 11598 kg/m3

---

First-principles (GGA-PBE) data for a relaxed CrNi2RhAu crystal, as listed in Alexandria.

a b c (Å): 4.562 4.562 4.911
angles (deg): 90.00 90.00 90.00
Space group P4/mmm (No. 123)
One atom of each set of equivalent atoms:
Cr  0.000  0.000  0.000 x1
Ni  0.000  0.500  0.500 x2
Rh  0.500  0.500  0.000 x1
Au  0.500  0.500  0.500 x1

Output
**ΔE_f**: 185.93 kJ per mole of atoms
**DFT total energy**: -22.18 eV for the cell shown
**Density**: 7622 kg/m3

---

First-principles (GGA-PBE) data for a relaxed Cr2NiAuSe crystal, as listed in Alexandria.

a b c (Å): 5.044 5.044 4.961
angles (deg): 90.00 90.00 90.00
Space group P4/mmm (No. 123)
One atom of each set of equivalent atoms:
Cr  0.000  0.500  0.000 x2
Ni  0.000  0.000  0.500 x1
Au  0.500  0.500  0.000 x1
Se  0.500  0.500  0.500 x1

Output
**DFT total energy**: -24.69 eV for the cell shown
**Density**: 5770 kg/m3
**Formation energy from raw total energies**: 1.421 eV/atom

---

First-principles (GGA-PBE) data for a relaxed CrNiSnAu crystal, as listed in Alexandria.

a b c (Å): 6.374 6.374 6.374
angles (deg): 90.00 90.00 90.00
Space group F-43m (No. 216)
One atom of each set of equivalent atoms:
Cr  0.000  0.000  0.000 x4
Ni  0.000  0.000  0.500 x4
Sn  0.250  0.250  0.750 x4
Au  0.250  0.250  0.250 x4

Output
**ΔE_f**: 7.05 kJ per mole of atoms
**DFT total energy**: -89.57 eV for the cell shown
**Density**: 10938 kg/m3

---

First-principles (GGA-PBE) data for a relaxed Cr2TcNiAu crystal, as listed in Alexandria.

a b c (Å): 4.388 4.388 4.516
angles (deg): 90.00 90.00 90.00
Space group P4/mmm (No. 123)
One atom of each set of equivalent atoms:
Cr  0.000  0.500  0.000 x2
Tc  0.000  0.000  0.000 x1
Ni  0.000  0.000  0.500 x1
Au  0.500  0.500  0.500 x1

Output
**ΔE_f**: 133.52 kJ per mole of atoms
**DFT total energy**: -31.75 eV for the cell shown
**Density**: 8742 kg/m3

---

First-principles (GGA-PBE) data for a relaxed Cr2TcNiAu crystal, as listed in Alexandria.

a b c (Å): 4.567 4.567 4.815
angles (deg): 90.00 90.00 90.00
Space group P4/mmm (No. 123)
One atom of each set of equivalent atoms:
Cr  0.000  0.500  0.000 x2
Tc  0.000  0.000  0.500 x1
Ni  0.500  0.500  0.500 x1
Au  0.000  0.000  0.000 x1

Output
**ΔE_f**: 237.88 kJ per mole of atoms
**DFT total energy**: -26.34 eV for the cell shown
**Density**: 7567 kg/m3

---

First-principles (GGA-PBE) data for a relaxed V2CrNiAu crystal, as listed in Alexandria.

a b c (Å): 4.825 4.825 4.918
angles (deg): 90.00 90.00 90.00
Space group P4/mmm (No. 123)
One atom of each set of equivalent atoms:
V  0.000  0.500  0.000 x2
Cr  0.000  0.000  0.500 x1
Ni  0.500  0.500  0.500 x1
Au  0.000  0.000  0.000 x1

Output
**ΔE_f**: 167.13 kJ per mole of atoms
**DFT total energy**: -28.26 eV for the cell shown
**Density**: 5940 kg/m3

---

First-principles (GGA-PBE) data for a relaxed Zn2CrNiAu crystal, as listed in Alexandria.

a b c (Å): 4.708 4.708 4.933
angles (deg): 90.00 90.00 90.00
Space group P4/mmm (No. 123)
One atom of each set of equivalent atoms:
Zn  0.000  0.500  0.000 x2
Cr  0.000  0.000  0.000 x1
Ni  0.500  0.500  0.500 x1
Au  0.000  0.000  0.500 x1

Output
**ΔE_f**: 111.79 kJ per mole of atoms
**DFT total energy**: -15.44 eV for the cell shown
**Density**: 6659 kg/m3

---

First-principles (GGA-PBE) data for a relaxed ZnCrNiAu crystal, as listed in Alexandria.

a b c (Å): 6.142 6.142 6.142
angles (deg): 90.00 90.00 90.00
Space group F-43m (No. 216)
One atom of each set of equivalent atoms:
Zn  0.000  0.000  0.000 x4
Cr  0.000  0.000  0.500 x4
Ni  0.250  0.250  0.750 x4
Au  0.250  0.250  0.250 x4

Output
**ΔE_f**: 5.67 kJ per mole of atoms
**DFT total energy**: -78.88 eV for the cell shown
**Density**: 10693 kg/m3